# Be2AgIr (PBE, relaxed)
# calculated volume = 102 Å³/cell
# formation energy from the elements = 0.0263 eV per atom
data_Be2AgIr
_chemical_formula_sum 'Be4 Ag2 Ir2'
_cell_length_a 2.9751
_cell_length_b 4.5424
_cell_length_c 7.5237
_cell_angle_alpha 90.00
_cell_angle_beta 90.00
_cell_angle_gamma 90.00
_space_group_name_H-M_alt 'C m m m'
_space_group_IT_number 65
_space_group_name_Hall '-C 2 2'
loop_
_atom_site_label
_atom_site_type_symbol
_atom_site_fract_x
_atom_site_fract_y
_atom_site_fract_z
Be1 Be 0.0000 0.0000 0.2314
Ag1 Ag 0.0000 0.5000 0.5000
Ir1 Ir 0.0000 0.5000 0.0000

# Be2AgIr (PBE, relaxed)
# calculated volume = 48 Å³/cell
# formation energy from the elements = -0.3265 eV per atom
data_Be2AgIr
_chemical_formula_sum 'Be2 Ag1 Ir1'
_cell_length_a 2.8775
_cell_length_b 2.8775
_cell_length_c 5.8197
_cell_angle_alpha 90.00
_cell_angle_beta 90.00
_cell_angle_gamma 90.00
_space_group_name_H-M_alt 'P 4/m m m'
_space_group_IT_number 123
_space_group_name_Hall '-P 4 2'
loop_
_atom_site_label
_atom_site_type_symbol
_atom_site_fract_x
_atom_site_fract_y
_atom_site_fract_z
Be1 Be 0.0000 0.0000 0.2054
Ag1 Ag 0.5000 0.5000 0.5000
Ir1 Ir 0.5000 0.5000 0.0000

Among the records above, which one has the highest formation energy from the elements?
number 1

What is the formation energy from the elements in the second record?
-0.3265 eV per atom

Look up the calculated volume of the second one.
48 Å³/cell